Entry 1:
A geometry-optimized SrUGe structure, computed with GGA-PBE.

```
data_SrUGe
_chemical_formula_sum 'Sr4 U4 Ge4'
_cell_length_a 7.199
_cell_length_b 7.199
_cell_length_c 7.199
_cell_angle_alpha 90.00
_cell_angle_beta 90.00
_cell_angle_gamma 90.00
_space_group_name_H-M_alt 'F -4 3 m'
_space_group_IT_number 216
_space_group_name_Hall 'F -4 2 3'
loop_
_atom_site_label
_atom_site_fract_x
_atom_site_fract_y
_atom_site_fract_z
Sr1 0.000 0.000 0.000
U1 0.250 0.250 0.750
Ge1 0.000 0.000 0.500
```

Spin magnetization   3.991 μB/f.u.
Crystal system   cubic
Calculated density   7.091 g/cm3

=====

Entry 2:
A geometry-optimized Lu2Mg3Os structure, computed with GGA-PBE.

```
data_Lu2Mg3Os
_chemical_formula_sum 'Lu4 Mg6 Os2'
_cell_length_a 5.5621
_cell_length_b 5.5621
_cell_length_c 9.4804
_cell_angle_alpha 90.00
_cell_angle_beta 90.00
_cell_angle_gamma 120.00
_space_group_name_H-M_alt 'P 63/m m c'
_space_group_IT_number 194
_space_group_name_Hall '-P 6c 2c'
loop_
_atom_site_label
_atom_site_fract_x
_atom_site_fract_y
_atom_site_fract_z
Lu1 0.3333 0.6667 0.0516
Mg1 0.1628 0.3257 0.7500
Os1 0.0000 0.0000 0.0000
```

Spin magnetization   0.009 μB/f.u.
Crystal system   hexagonal
Calculated density   8.016 g/cm3

=====

Entry 3:
A geometry-optimized ZnIn2Bi structure, computed with GGA-PBE.

```
data_ZnIn2Bi
_chemical_formula_sum 'Zn4 In8 Bi4'
_cell_length_a 7.523
_cell_length_b 7.523
_cell_length_c 7.523
_cell_angle_alpha 90.00
_cell_angle_beta 90.00
_cell_angle_gamma 90.00
_space_group_name_H-M_alt 'F -4 3 m'
_space_group_IT_number 216
_space_group_name_Hall 'F -4 2 3'
loop_
_atom_site_label
_atom_site_fract_x
_atom_site_fract_y
_atom_site_fract_z
Zn1 0.000 0.000 0.000
In1 0.000 0.000 0.500
In2 0.250 0.250 0.250
Bi1 0.250 0.250 0.750
```

Crystal system   cubic
Calculated density   7.862 g/cm3

=====

Across the entries above, E_tot takes the values -59.83, -50.23, -41.48 eV per cell, respectively.